Version w
Er6Tm3In: optimized geometry, PBE-GGA.

Its density is 9.1 g cm⁻³.

It has space group P2_1/m (No. 11), with a = 9.480 Å, b = 5.490 Å, c = 12.284 Å, α = 90.00°, β = 111.20° and γ = 90.00°. The distinct sites, in fractional coordinates, are Er at (0.039, 0.250, 0.431), Er at (0.188, 0.750, 0.167), Er at (0.255, 0.250, 0.012), Er at (0.346, 0.750, 0.794), Er at (0.347, 0.250, 0.327), Er at (0.426, 0.250, 0.639), Tm at (0.027, 0.750, 0.867), Tm at (0.100, 0.250, 0.721), Tm at (0.272, 0.750, 0.472) and In at (0.468, 0.750, 0.082).

Version x
Er6Tm3In: optimized geometry, PBE-GGA.

Its density is 9.0 g cm⁻³.

It has space group P2_1/m (No. 11), with a = 12.696 Å, b = 3.501 Å, c = 14.218 Å, α = 90.00°, β = 108.28° and γ = 90.00°. The distinct sites, in fractional coordinates, are Er at (0.114, 0.250, 0.211), Er at (0.163, 0.750, 0.784), Er at (0.246, 0.250, 0.605), Er at (0.282, 0.750, 0.401), Er at (0.356, 0.750, 0.193), Er at (0.362, 0.250, 0.978), Tm at (0.032, 0.750, 0.408), Tm at (0.122, 0.750, 0.004), Tm at (0.491, 0.750, 0.602) and In at (0.422, 0.750, 0.803).

On energetic grounds, version w is preferred over the next structure by 43 meV per atom.

Version w
ErTm2In2: optimized geometry, PBE-GGA.

Its density is 9.0 g cm⁻³.

It has space group Cmc2_1 (No. 36), with a = 5.269 Å, b = 15.921 Å, c = 6.445 Å, α = 90.00°, β = 90.00° and γ = 90.00°. The distinct sites, in fractional coordinates, are Er at (0.000, 0.099, 0.000), Tm at (0.000, 0.304, 0.231), Tm at (0.000, 0.476, 0.796), In at (0.000, 0.101, 0.514) and In at (0.000, 0.287, 0.721).

Version x
ErTm2In2: optimized geometry, PBE-GGA.

Its density is 9.1 g cm⁻³.

It has space group P2_1/m (No. 11), with a = 3.701 Å, b = 5.289 Å, c = 13.807 Å, α = 90.00°, β = 97.72° and γ = 90.00°. The distinct sites, in fractional coordinates, are Er at (0.149, 0.250, 0.300), Tm at (0.048, 0.750, 0.096), Tm at (0.238, 0.750, 0.475), In at (0.357, 0.250, 0.713) and In at (0.450, 0.750, 0.900).

On energetic grounds, version x is preferred over the next structure by 60 meV per atom.

Version w
Er2Tm3In2: optimized geometry, PBE-GGA.

Its density is 9.2 g cm⁻³.

It has space group Cmmm (No. 65), with a = 4.931 Å, b = 23.048 Å, c = 3.410 Å, α = 90.00°, β = 90.00° and γ = 90.00°. The distinct sites, in fractional coordinates, are Er at (0.000, 0.214, 0.000), Tm at (0.000, 0.355, 0.500), Tm at (0.000, 0.500, 0.500) and In at (0.000, 0.071, 0.000).

Version x
Er2Tm3In2: optimized geometry, PBE-GGA.

Its density is 9.0 g cm⁻³.

It has space group C2/m (No. 12), with a = 12.806 Å, b = 3.696 Å, c = 8.431 Å, α = 90.00°, β = 99.90° and γ = 90.00°. The distinct sites, in fractional coordinates, are Er at (0.134, 0.000, 0.437), Tm at (0.000, 0.000, 0.000), Tm at (0.237, 0.500, 0.159) and In at (0.062, 0.500, 0.727).

On energetic grounds, version x is preferred over the next structure by 125 meV per atom.

Version w
Er4TmIn2: optimized geometry, PBE-GGA.

Its density is 8.4 g cm⁻³.

It has space group P4_2/mnm (No. 136), with a = 8.956 Å, b = 8.956 Å, c = 5.276 Å, α = 90.00°, β = 90.00° and γ = 90.00°. The distinct sites, in fractional coordinates, are Er at (0.079, 0.334, 0.000), Tm at (0.000, 0.000, 0.500) and In at (0.247, 0.247, 0.500).

Version x
Er4TmIn2: optimized geometry, PBE-GGA.

Its density is 8.7 g cm⁻³.

It has space group P2_1/c (No. 14), with a = 6.250 Å, b = 11.650 Å, c = 6.550 Å, α = 90.00°, β = 121.23° and γ = 90.00°. The distinct sites, in fractional coordinates, are Er at (0.065, 0.212, 0.163), Er at (0.425, 0.621, 0.848), Tm at (0.000, 0.000, 0.500) and In at (0.493, 0.115, 0.097).

On energetic grounds, version x is preferred over the next structure by 23 meV per atom.

Version w
Er2Tm2In3: optimized geometry, PBE-GGA.

Its density is 8.6 g cm⁻³.

It has space group C2/m (No. 12), with a = 12.965 Å, b = 3.702 Å, c = 8.859 Å, α = 90.00°, β = 112.94° and γ = 90.00°. The distinct sites, in fractional coordinates, are Er at (0.116, 0.000, 0.453), Tm at (0.124, 0.500, 0.815), In at (0.000, 0.000, 0.000) and In at (0.184, 0.500, 0.212).

Version x
Er2Tm2In3: optimized geometry, PBE-GGA.

Its density is 8.9 g cm⁻³.

It has space group Cmmm (No. 65), with a = 3.433 Å, b = 31.836 Å, c = 3.475 Å, α = 90.00°, β = 90.00° and γ = 90.00°. The distinct sites, in fractional coordinates, are Er at (0.000, 0.068, 0.000), Tm at (0.000, 0.202, 0.000), In at (0.000, 0.364, 0.500) and In at (0.000, 0.500, 0.500).

On energetic grounds, version x is preferred over the next structure by 41 meV per atom.

Version w
ErTmIn: optimized geometry, PBE-GGA.

Its density is 6.9 g cm⁻³.

It has space group P4/mmm (No. 123), with a = 4.208 Å, b = 4.208 Å, c = 6.172 Å, α = 90.00°, β = 90.00° and γ = 90.00°. The distinct sites, in fractional coordinates, are Er at (0.000, 0.000, 0.000), Tm at (0.000, 0.000, 0.500) and In at (0.500, 0.500, 0.000).

Version x
ErTmIn: optimized geometry, PBE-GGA.

Its density is 9.0 g cm⁻³.

It has space group P3m1 (No. 156), with a = 5.1833 Å, b = 5.1833 Å, c = 3.5788 Å, α = 90.00°, β = 90.00° and γ = 120.00°. The distinct sites, in fractional coordinates, are Er at (0.0000, 0.0000, 0.0000), Tm at (0.3333, 0.6667, 0.4431) and In at (0.6667, 0.3333, 0.7072).

On energetic grounds, version x is preferred over the next structure by 848 meV per atom.

Version w
ErTmIn: optimized geometry, PBE-GGA.

Its density is 9.2 g cm⁻³.

It has space group Imm2 (No. 44), with a = 3.507 Å, b = 4.516 Å, c = 10.269 Å, α = 90.00°, β = 90.00° and γ = 90.00°. The distinct sites, in fractional coordinates, are Er at (0.000, 0.000, 0.000), Tm at (0.000, 0.000, 0.686) and In at (0.000, 0.000, 0.342).

Version x
ErTmIn: optimized geometry, PBE-GGA.

Its density is 9.0 g cm⁻³.

It has space group I4mm (No. 107), with a = 3.492 Å, b = 3.492 Å, c = 13.612 Å, α = 90.00°, β = 90.00° and γ = 90.00°. The distinct sites, in fractional coordinates, are Er at (0.000, 0.000, 0.000), Tm at (0.000, 0.000, 0.685) and In at (0.000, 0.000, 0.342).

On energetic grounds, version x is preferred over the next structure by 74 meV per atom.

Version w
ErTm3In: optimized geometry, PBE-GGA.

Its density is 8.8 g cm⁻³.

It has space group Pmmn (No. 59, origin choice 2), with a = 5.247 Å, b = 8.438 Å, c = 6.711 Å, α = 90.00°, β = 90.00° and γ = 90.00°. The distinct sites, in fractional coordinates, are Er at (0.250, 0.250, 0.059), Tm at (0.250, 0.559, 0.730), Tm at (0.250, 0.750, 0.213) and In at (0.250, 0.250, 0.496).

Version x
ErTm3In: optimized geometry, PBE-GGA.

Its density is 9.3 g cm⁻³.

It has space group Cmcm (No. 63), with a = 4.755 Å, b = 24.828 Å, c = 4.752 Å, α = 90.00°, β = 90.00° and γ = 90.00°. The distinct sites, in fractional coordinates, are Er at (0.000, 0.150, 0.250), Tm at (0.000, 0.048, 0.750), Tm at (0.000, 0.250, 0.750), Tm at (0.000, 0.448, 0.750) and In at (0.000, 0.349, 0.250).

On energetic grounds, version x is preferred over the next structure by 92 meV per atom.

Version w
ErTm2In: optimized geometry, PBE-GGA.

Its density is 9.3 g cm⁻³.

It has space group Fm-3m (No. 225), with a = 7.615 Å, b = 7.615 Å, c = 7.615 Å, α = 90.00°, β = 90.00° and γ = 90.00°. The distinct sites, in fractional coordinates, are Er at (0.000, 0.000, 0.000), Tm at (0.250, 0.250, 0.250) and In at (0.000, 0.000, 0.500).

Version x
ErTm2In: optimized geometry, PBE-GGA.

Its density is 8.6 g cm⁻³.

It has space group R-3m (No. 166, hexagonal axes), with a = 3.4372 Å, b = 3.4372 Å, c = 35.2988 Å, α = 90.00°, β = 90.00° and γ = 120.00°. The distinct sites, in fractional coordinates, are Er at (0.0000, 0.0000, 0.0000), Tm at (0.0000, 0.0000, 0.0952) and In at (0.0000, 0.0000, 0.5000).

On energetic grounds, version w is preferred over the next structure by 199 meV per atom.

Version w
ErTm2In: optimized geometry, PBE-GGA.

Its density is 9.4 g cm⁻³.

It has space group P4/mmm (No. 123), with a = 4.786 Å, b = 4.786 Å, c = 4.788 Å, α = 90.00°, β = 90.00° and γ = 90.00°. The distinct sites, in fractional coordinates, are Er at (0.000, 0.000, 0.000), Tm at (0.000, 0.500, 0.500) and In at (0.500, 0.500, 0.000).

Version x
ErTm2In: optimized geometry, PBE-GGA.

Its density is 9.1 g cm⁻³.

It has space group P4/mmm (No. 123), with a = 3.536 Å, b = 3.536 Å, c = 9.079 Å, α = 90.00°, β = 90.00° and γ = 90.00°. The distinct sites, in fractional coordinates, are Er at (0.000, 0.000, 0.000), Tm at (0.500, 0.500, 0.270) and In at (0.000, 0.000, 0.500).

On energetic grounds, version w is preferred over the next structure by 28 meV per atom.

Version w
Er4Tm2In: optimized geometry, PBE-GGA.

Its density is 9.0 g cm⁻³.

It has space group P2_1/m (No. 11), with a = 5.543 Å, b = 6.685 Å, c = 11.533 Å, α = 90.00°, β = 103.21° and γ = 90.00°. The distinct sites, in fractional coordinates, are Er at (0.107, 0.250, 0.138), Er at (0.228, 0.750, 0.420), Er at (0.341, 0.508, 0.708), Tm at (0.207, 0.250, 0.433), Tm at (0.462, 0.750, 0.021) and In at (0.028, 0.750, 0.148).

Version x
Er4Tm2In: optimized geometry, PBE-GGA.

Its density is 8.8 g cm⁻³.

It has space group Fdd2 (No. 43), with a = 10.062 Å, b = 21.620 Å, c = 7.779 Å, α = 90.00°, β = 90.00° and γ = 90.00°. The distinct sites, in fractional coordinates, are Er at (0.012, 0.419, 0.000), Er at (0.038, 0.117, 0.081), Tm at (0.036, 0.238, 0.421) and In at (0.000, 0.000, 0.845).

On energetic grounds, version x is preferred over the next structure by 19 meV per atom.

Version w
Er3Tm2In2: optimized geometry, PBE-GGA.

Its density is 9.2 g cm⁻³.

It has space group R-3m (No. 166, hexagonal axes), with a = 5.3216 Å, b = 5.3216 Å, c = 23.7053 Å, α = 90.00°, β = 90.00° and γ = 120.00°. The distinct sites, in fractional coordinates, are Er at (0.0000, 0.0000, 0.0000), Er at (0.0000, 0.0000, 0.1528), Tm at (0.0000, 0.0000, 0.4251) and In at (0.0000, 0.0000, 0.2835).

Version x
Er3Tm2In2: optimized geometry, PBE-GGA.

Its density is 9.1 g cm⁻³.

It has space group Cmmm (No. 65), with a = 4.944 Å, b = 23.076 Å, c = 3.415 Å, α = 90.00°, β = 90.00° and γ = 90.00°. The distinct sites, in fractional coordinates, are Er at (0.000, 0.000, 0.000), Er at (0.000, 0.146, 0.000), Tm at (0.000, 0.286, 0.500) and In at (0.000, 0.429, 0.500).

On energetic grounds, version w is preferred over the next structure by 114 meV per atom.